Here is a relaxed BeAl2Tc crystal from Alexandria via LeMat-Bulk. Energies are from GGA-PBE.

ΔE_f: -0.205 eV per atom
Total magnetization: 0.00 μB/cell
DFT total energy: -5.599 eV per atom
DOS(E_F): 2.5 states/eV per cell

CIF file:
```
data_BeAl2Tc
_symmetry_space_group_name_H-M 'P 4 m m'
_symmetry_Int_Tables_number 99
_symmetry_space_group_name_Hall 'P 4 -2'
_cell_length_a 3.224
_cell_length_b 3.224
_cell_length_c 5.206
_cell_angle_alpha 90.00
_cell_angle_beta 90.00
_cell_angle_gamma 90.00
loop_
_atom_site_label
_atom_site_fract_x
_atom_site_fract_y
_atom_site_fract_z
Be1 0.000 0.000 0.000
Al1 0.000 0.000 0.455
Al2 0.500 0.500 0.747
Tc1 0.500 0.500 0.224
```

---

Here is a relaxed PmPaGe4 crystal from Alexandria via LeMat-Bulk. Energies are from GGA-PBE.

ΔE_f: -0.199 eV per atom
Total magnetization: 2.00 μB/cell
DFT total energy: -5.651 eV per atom
DOS(E_F): 20.5 states/eV per cell

CIF file:
```
data_PmPaGe4
_symmetry_space_group_name_H-M 'F -4 3 m'
_symmetry_Int_Tables_number 216
_symmetry_space_group_name_Hall 'F -4 2 3'
_cell_length_a 7.924
_cell_length_b 7.924
_cell_length_c 7.924
_cell_angle_alpha 90.00
_cell_angle_beta 90.00
_cell_angle_gamma 90.00
loop_
_atom_site_label
_atom_site_fract_x
_atom_site_fract_y
_atom_site_fract_z
Pm1 0.000 0.000 0.000
Pa1 0.250 0.250 0.750
Ge1 0.125 0.125 0.375
```

---

Here is a relaxed Be3TeAs crystal from Alexandria via LeMat-Bulk. Energies are from GGA-PBE.

Energy above the lowest structure with this stoichiometry: 63.0 kJ/mol of atoms
Total magnetization: 0.00 μB/cell
DFT total energy: -2.560 eV per atom
DOS(E_F): 2.8 states/eV per cell

CIF file:
```
data_Be3TeAs
_symmetry_space_group_name_H-M 'P m -3 m'
_symmetry_Int_Tables_number 221
_symmetry_space_group_name_Hall '-P 4 2 3'
_cell_length_a 4.639
_cell_length_b 4.639
_cell_length_c 4.639
_cell_angle_alpha 90.00
_cell_angle_beta 90.00
_cell_angle_gamma 90.00
loop_
_atom_site_label
_atom_site_fract_x
_atom_site_fract_y
_atom_site_fract_z
Be1 0.000 0.000 0.500
Te1 0.000 0.000 0.000
As1 0.500 0.500 0.500
```